VASP calculation (PBE) on a relaxed structure of Sm5Al.

As for the density of states at the Fermi level: 1.17 states/eV/atom. The offset from the most stable computed form comes out at 0 meV per atom. As for the total energy: -55.7 eV/cell. For the calculated formation energy, the calculation gives -89 meV per atom. As for the crystal system: monoclinic.

Structure (CIF):
```
data_Sm5Al
_chemical_formula_sum 'Sm10 Al2'
_cell_length_a 12.384
_cell_length_b 3.777
_cell_length_c 8.675
_cell_angle_alpha 90.00
_cell_angle_beta 112.57
_cell_angle_gamma 90.00
_symmetry_space_group_name_H-M 'C 1 2/m 1'
_symmetry_Int_Tables_number 12
_symmetry_space_group_name_Hall '-C 2y'
loop_
_atom_site_label
_atom_site_type_symbol
_atom_site_fract_x
_atom_site_fract_y
_atom_site_fract_z
Sm1 Sm 0.000 0.000 0.000
Sm2 Sm 0.143 0.500 0.360
Sm3 Sm 0.165 0.500 0.798
Al1 Al 0.000 0.000 0.500
```